Density functional theory data (PBE) for crystalline Ga3CoP at its relaxed geometry.

Lattice parameters (Å, degrees): 4.733 4.733 4.733 90.00 90.00 90.00
Site moments in Bohr magnetons follow the coordinates.
Sites, in units of the cell vectors:
P 0.000 0.000 0.000  -0.01
Co 0.500 0.500 0.500  1.95
Ga 0.000 0.500 0.000  -0.02
Ga 0.000 0.000 0.500  0.00
Ga 0.500 0.000 0.000  -0.01

## Properties
Final energy (eV/atom): -3.526
Energy above the most stable polymorph in this dataset (eV per atom): 0.526
Total magnetic moment (μB/cell): 1.84
E_form (eV/atom): 0.793
D(E_F) (states/eV per atom): 0.55
Calculated volume (Å³ per atom): 21.200


Density functional theory data (PBE) for crystalline ScTe2Pt at its relaxed geometry.

Lattice parameters (Å, degrees): 8.872 8.872 8.872 26.04 26.04 26.04
Site moments in Bohr magnetons follow the coordinates.
Sites, in units of the cell vectors:
Sc 0.500 0.500 0.500  0.02
Te 0.901 0.901 0.901  0.01
Te 0.099 0.099 0.099  0.01
Pt 0.000 0.000 0.000  0.46

## Properties
Final energy (eV/atom): -5.026
Total magnetic moment (μB/cell): 0.59
D(E_F) (states/eV per atom): 0.73
Formation energy without anion corrections (meV per atom): -362
Calculated volume (Å³ per atom): 29.645


Density functional theory data (PBE) for crystalline SbOsCl2 at its relaxed geometry.

Lattice parameters (Å, degrees): 3.217 3.708 8.953 90.00 90.00 90.00
Sites, in units of the cell vectors:
Sb 0.500 0.500 0.569
Os 0.000 0.000 0.688
Cl 0.000 0.000 0.938
Cl 0.500 0.500 0.305

## Properties
Final energy (eV/atom): -4.656
Energy above the most stable polymorph in this dataset (eV per atom): 0.083
Total magnetic moment (μB/cell): 0.00
D(E_F) (states/eV per atom): 0.71
Formation energy without anion corrections (meV per atom): 105
Calculated volume (Å³ per atom): 26.706


Density functional theory data (PBE) for crystalline Y4BiTeAs2 at its relaxed geometry.

Lattice parameters (Å, degrees): 4.241 7.479 7.351 70.99 90.00 90.00
Sites, in units of the cell vectors:
Y 0.000 0.775 0.743
Y 0.000 0.225 0.257
Y 0.500 0.777 0.239
Y 0.500 0.223 0.761
Bi 0.500 0.500 0.000
Te 0.000 0.500 0.500
As 0.000 0.000 0.000
As 0.500 0.000 0.500

## Properties
Final energy (eV/atom): -6.644
Total magnetic moment (μB/cell): 0.00
D(E_F) (states/eV per atom): 0.22
Formation energy without anion corrections (meV per atom): -1372
Calculated volume (Å³ per atom): 27.555


Density functional theory data (PBE) for crystalline TlP3I at its relaxed geometry.

Lattice parameters (Å, degrees): 5.225 5.225 5.225 90.00 90.00 90.00
Site moments in Bohr magnetons follow the coordinates.
Sites, in units of the cell vectors:
I 0.000 0.000 0.000  0.00
P 0.000 0.500 0.000  0.08
P 0.000 0.000 0.500  0.13
P 0.500 0.000 0.000  0.07
Tl 0.500 0.500 0.500  0.01

## Properties
Final energy (eV/atom): -2.724
Energy above the most stable polymorph in this dataset (eV per atom): 0.000
Total magnetic moment (μB/cell): 0.65
D(E_F) (states/eV per atom): 1.31
Formation energy without anion corrections (meV per atom): 1305
Calculated volume (Å³ per atom): 28.530


Density functional theory data (PBE) for crystalline Hf2ThAl at its relaxed geometry.

Lattice parameters (Å, degrees): 4.371 4.594 4.594 90.00 90.00 90.00
Sites, in units of the cell vectors:
Hf 0.000 0.000 0.500
Hf 0.000 0.500 0.000
Al 0.500 0.000 0.000
Th 0.500 0.500 0.500

## Properties
Final energy (eV/atom): -7.855
Energy above the most stable polymorph in this dataset (eV per atom): 0.000
Total magnetic moment (μB/cell): 0.00
E_form (eV/atom): -0.088
D(E_F) (states/eV per atom): 1.16
Calculated volume (Å³ per atom): 23.058